The following is a DFT calculation (PBE+U) of a geometry-optimized Cs3AcV2O8 structure.

Energy: -6.680 eV/atom
Crystal system: trigonal
Volume: 21.717 Å³ per atom
Space group: P-3m1

Cell lengths 6.399, 6.399, 8.574 Å; angles 90.00, 90.00, 120.00 degrees
Sites, in units of the cell vectors:
O (0.365, 0.182, 0.672)
O (0.667, 0.333, 0.936)
O (0.818, 0.635, 0.672)
O (0.818, 0.182, 0.672)
O (0.182, 0.818, 0.328)
O (0.333, 0.667, 0.064)
O (0.635, 0.818, 0.328)
O (0.182, 0.365, 0.328)
Cs (0.667, 0.333, 0.275)
Cs (0.333, 0.667, 0.725)
Cs (0.000, 0.000, 0.000)
V (0.333, 0.667, 0.261)
V (0.667, 0.333, 0.739)
Ac (0.000, 0.000, 0.500)